This record from the Alexandria database describes crystalline MgB2P at its relaxed geometry. The functional is PBE.

density of states at the Fermi level: 0.485 states/eV/atom
E_form: 2.3 eV/f.u.
energy relative to the lowest polymorph listed for this composition: 671 meV/atom

Cell lengths 5.2898, 5.2898, 8.3405 Å; angles 90.00, 90.00, 90.00 degrees
Fractional coordinates of all 16 atoms:
Mg 0.0000 0.0000 0.0000
Mg 0.0000 0.5000 0.2500
Mg 0.5000 0.0000 0.7500
Mg 0.5000 0.5000 0.5000
B 0.1754 0.2500 0.6250
B 0.2500 0.6754 0.8750
B 0.2500 0.8246 0.3750
B 0.3246 0.2500 0.1250
B 0.6754 0.7500 0.1250
B 0.7500 0.1754 0.3750
B 0.7500 0.3246 0.8750
B 0.8246 0.7500 0.6250
P 0.0000 0.0000 0.5000
P 0.0000 0.5000 0.7500
P 0.5000 0.0000 0.2500
P 0.5000 0.5000 0.0000

***

This record from the Alexandria database describes crystalline SrBIrRh2 at its relaxed geometry. The functional is PBE.

density of states at the Fermi level: 0.753 states/eV/atom
E_form: -1.2 eV/f.u.

Cell lengths 4.3133, 4.3133, 4.2405 Å; angles 90.00, 90.00, 90.00 degrees
Fractional coordinates of all 5 atoms:
Sr 0.0000 0.0000 0.0000
B 0.5000 0.5000 0.5000
Ir 0.5000 0.5000 0.0000
Rh 0.0000 0.5000 0.5000
Rh 0.5000 0.0000 0.5000

***

This record from the Alexandria database describes crystalline Sr2HgAu2 at its relaxed geometry. The functional is PBE.

density of states at the Fermi level: 0.742 states/eV/atom
E_form: -2.6 eV/f.u.

Cell lengths 4.0179, 4.0179, 18.1261 Å; angles 90.00, 90.00, 90.00 degrees
Fractional coordinates of all 10 atoms:
Sr 0.0000 0.0000 0.1112
Sr 0.0000 0.0000 0.8888
Sr 0.5000 0.5000 0.3888
Sr 0.5000 0.5000 0.6112
Hg 0.0000 0.0000 0.5000
Hg 0.5000 0.5000 0.0000
Au 0.0000 0.5000 0.2500
Au 0.0000 0.5000 0.7500
Au 0.5000 0.0000 0.2500
Au 0.5000 0.0000 0.7500

***

This record from the Alexandria database describes crystalline SrLiLa3 at its relaxed geometry. The functional is PBE.

density of states at the Fermi level: 0.979 states/eV/atom
E_form: 4.5 eV/f.u.
energy relative to the lowest polymorph listed for this composition: 550 meV/atom

Cell lengths 6.0836, 6.0836, 6.0836 Å; angles 90.00, 90.00, 90.00 degrees
Fractional coordinates of all 5 atoms:
Sr 0.0000 0.0000 0.0000
Li 0.5000 0.5000 0.5000
La 0.0000 0.0000 0.5000
La 0.0000 0.5000 0.0000
La 0.5000 0.0000 0.0000

***

This record from the Alexandria database describes crystalline Er5In4Pd at its relaxed geometry. The functional is PBE.

density of states at the Fermi level: 0.506 states/eV/atom
E_form: -5.5 eV/f.u.

Cell lengths 3.5062, 3.5062, 20.3245 Å; angles 90.00, 90.00, 90.00 degrees
Fractional coordinates of all 10 atoms:
Er 0.0000 0.0000 0.0000
Er 0.0000 0.0000 0.2084
Er 0.0000 0.0000 0.4169
Er 0.0000 0.0000 0.5831
Er 0.0000 0.0000 0.7916
In 0.5000 0.5000 0.1042
In 0.5000 0.5000 0.3116
In 0.5000 0.5000 0.6884
In 0.5000 0.5000 0.8958
Pd 0.5000 0.5000 0.5000

***

This record from the Alexandria database describes crystalline Y3AlS at its relaxed geometry. The functional is PBE.

density of states at the Fermi level: 0.488 states/eV/atom
energy relative to the lowest polymorph listed for this composition: 203 meV/atom
formation energy (no corrections): -0.77 eV/atom

Cell lengths 5.1382, 5.1382, 5.1382 Å; angles 90.00, 90.00, 90.00 degrees
Fractional coordinates of all 5 atoms:
Y 0.0000 0.0000 0.5000
Y 0.0000 0.5000 0.0000
Y 0.5000 0.0000 0.0000
Al 0.5000 0.5000 0.5000
S 0.0000 0.0000 0.0000

***

This record from the Alexandria database describes crystalline Na5Si at its relaxed geometry. The functional is PBE.

density of states at the Fermi level: 0.331 states/eV/atom
formation energy (no corrections): 0.13 eV/atom

Cell lengths 5.4230, 11.4527, 5.4054 Å; angles 90.00, 90.00, 90.00 degrees
Fractional coordinates of all 12 atoms:
Na 0.0000 0.0000 0.0000
Na 0.0000 0.1543 0.5000
Na 0.0000 0.3562 0.0000
Na 0.0000 0.6438 0.0000
Na 0.0000 0.8457 0.5000
Na 0.5000 0.1438 0.0000
Na 0.5000 0.3457 0.5000
Na 0.5000 0.5000 0.0000
Na 0.5000 0.6543 0.5000
Na 0.5000 0.8562 0.0000
Si 0.0000 0.5000 0.5000
Si 0.5000 0.0000 0.5000

***

This record from the Alexandria database describes crystalline Cs2CaOsO6 at its relaxed geometry. The functional is PBE.

formation energy (no corrections): -1.60 eV/atom

Cell lengths 6.6178, 6.6178, 5.8676 Å; angles 90.00, 90.00, 120.00 degrees
Fractional coordinates of all 10 atoms:
Cs 0.3333 0.6667 0.3443
Cs 0.6667 0.3333 0.6557
Ca 0.0000 0.0000 0.0000
Os 0.0000 0.0000 0.5000
O 0.1319 0.2638 0.6915
O 0.1319 0.8681 0.6915
O 0.2638 0.1319 0.3085
O 0.7362 0.8681 0.6915
O 0.8681 0.1319 0.3085
O 0.8681 0.7362 0.3085

***

This record from the Alexandria database describes crystalline InSbCl at its relaxed geometry. The functional is PBE.

density of states at the Fermi level: 1.467 states/eV/atom
energy relative to the lowest polymorph listed for this composition: 360 meV/atom
formation energy (no corrections): -0.06 eV/atom

Cell lengths 7.0978, 7.0978, 7.0978 Å; angles 90.00, 90.00, 90.00 degrees
Fractional coordinates of all 12 atoms:
In 0.0000 0.0000 0.0000
In 0.0000 0.5000 0.5000
In 0.5000 0.0000 0.5000
In 0.5000 0.5000 0.0000
Sb 0.2500 0.2500 0.7500
Sb 0.2500 0.7500 0.2500
Sb 0.7500 0.2500 0.2500
Sb 0.7500 0.7500 0.7500
Cl 0.2500 0.2500 0.2500
Cl 0.2500 0.7500 0.7500
Cl 0.7500 0.2500 0.7500
Cl 0.7500 0.7500 0.2500

***

This record from the Alexandria database describes crystalline SrIrSe2Br at its relaxed geometry. The functional is PBE.

density of states at the Fermi level: 1.978 states/eV/atom
energy relative to the lowest polymorph listed for this composition: 1501 meV/atom
formation energy (no corrections): 0.94 eV/atom

Cell lengths 5.8380, 5.8380, 5.6567 Å; angles 90.00, 90.00, 90.00 degrees
Fractional coordinates of all 5 atoms:
Sr 0.0000 0.0000 0.0000
Ir 0.5000 0.5000 0.5000
Se 0.0000 0.5000 0.0000
Se 0.5000 0.0000 0.0000
Br 0.0000 0.0000 0.5000